This record from Alexandria via LeMat-Bulk describes a PBEsol-optimized structure of TmMgIn. The functional is meta-GGA SCAN.

Size of the total moment (μB/cell): 0.00
Crystal system: hexagonal
N(E_F) (states/eV/atom): 0.11
Electronic total energy (eV per formula unit): -91.66
Space group: P-62m, No. 189

Lattice parameters (Å, degrees): 4.5886 7.3612 7.3612 120.00 90.00 90.00
With the nearest neighbours (Å) after each atom.
Positions (direct):
Mg: 0.5000 0.2418 0.0000  4 In 2.85-2.90, 2 Mg 3.08
Mg: 0.5000 0.7582 0.7582  4 In 2.85-2.90, 2 Mg 3.08
Mg: 0.5000 0.0000 0.2418  4 In 2.85-2.90, 2 Mg 3.08
Tm: 0.0000 0.0000 0.5637  5 In 3.16-3.21, 2 Mg 3.30
Tm: 0.0000 0.4363 0.4363  5 In 3.16-3.21, 2 Mg 3.30
Tm: 0.0000 0.5637 0.0000  5 In 3.16-3.21, 2 Mg 3.30
In: 0.5000 0.3333 0.6667  3 Mg 2.85, 6 Tm 3.16
In: 0.5000 0.6667 0.3333  3 Mg 2.85, 6 Tm 3.16
In: 0.0000 0.0000 0.0000  6 Mg 2.90, 3 Tm 3.21

=====

This record from Alexandria via LeMat-Bulk describes a PBEsol-optimized structure of YMgIn2. The functional is meta-GGA SCAN.

Size of the total moment (μB/cell): 0.00
Crystal system: tetragonal
N(E_F) (states/eV/atom): 0.27
Electronic total energy (eV per formula unit): -101.84
Space group: P4/mmm, No. 123

Lattice parameters (Å, degrees): 4.4439 4.5723 4.5723 90.00 90.00 90.00
With the nearest neighbours (Å) after each atom.
Positions (direct):
In: 0.0000 0.0000 0.5000  4 Mg 3.19, 4 Y 3.19, 4 In 3.23
In: 0.0000 0.5000 0.0000  4 Mg 3.19, 4 Y 3.19, 4 In 3.23
Y: 0.5000 0.0000 0.0000  8 In 3.19, 4 Mg 3.23
Mg: 0.5000 0.5000 0.5000  8 In 3.19, 4 Y 3.23

=====

This record from Alexandria via LeMat-Bulk describes a PBEsol-optimized structure of YMgIn2. The functional is meta-GGA SCAN.

Size of the total moment (μB/cell): 0.00
Crystal system: monoclinic
N(E_F) (states/eV/atom): 0.47
Electronic total energy (eV per formula unit): -100.92
Space group: C2/m, No. 12

Lattice parameters (Å, degrees): 3.4684 5.1424 6.0568 100.93 90.00 109.71
With the nearest neighbours (Å) after each atom.
Positions (direct):
Y: 0.5000 0.0000 0.0000  6 In 3.15-3.21, 2 Y 3.47, 4 Mg 3.49
Mg: 0.0000 0.0000 0.5000  6 In 3.02-3.06
In: 0.2567 0.5134 0.2758  3 Mg 3.02-3.06, 3 Y 3.15-3.21, 2 In 3.25
In: 0.7433 0.4866 0.7242  3 Mg 3.02-3.06, 3 Y 3.15-3.21, 2 In 3.25

=====

This record from Alexandria via LeMat-Bulk describes a PBEsol-optimized structure of YMg4In. The functional is meta-GGA SCAN.

Size of the total moment (μB/cell): 0.00
Crystal system: cubic
N(E_F) (states/eV/atom): 0.57
Electronic total energy (eV per formula unit): -81.39
Space group: F-43m, No. 216

Lattice parameters (Å, degrees): 5.8967 5.8967 5.8967 60.00 60.00 60.00
With the nearest neighbours (Å) after each atom.
Positions (direct):
Mg: 0.3753 0.8741 0.3753  6 Mg 2.94-2.96
Mg: 0.3753 0.3753 0.8741  6 Mg 2.94-2.96
Mg: 0.8741 0.3753 0.3753  6 Mg 2.94-2.96
Mg: 0.3753 0.3753 0.3753  6 Mg 2.94-2.96
In: 0.0000 0.0000 0.0000  12 Mg 3.46, 4 Y 3.61
Y: 0.7500 0.7500 0.7500  12 Mg 3.46, 4 In 3.61